No. 1
This record from the Alexandria database describes a relaxed structure of KCoSi4. The functional is PBEsol.

a b c (Å): 5.1741 5.1741 5.1741
angles (deg): 60.00 60.00 60.00
Element x y z (fractional)
Co  0.7500  0.7500  0.7500
K  0.0000  0.0000  0.0000
Si  0.3763  0.3763  0.3763
Si  0.3763  0.3763  0.8711
Si  0.8711  0.3763  0.3763
Si  0.3763  0.8711  0.3763

As for the uncorrected formation energy: 3.80 eV per formula unit. The space group is F-43m (216). The magnetic moment is 2.1 μB/cell. For the volume, the calculation gives 97.9 Å³/f.u.

---

No. 2
This record from the Alexandria database describes a relaxed structure of TiAlPPd2. The functional is PBEsol.

a b c (Å): 4.5431 4.6237 4.6237
angles (deg): 90.00 90.00 90.00
Element x y z (fractional)
P  0.5000  0.0000  0.0000
Al  0.5000  0.5000  0.5000
Pd  0.0000  0.0000  0.5000
Pd  0.0000  0.5000  0.0000
Ti  0.0000  0.0000  0.0000

The space group is P4/mmm (123). The magnetic moment is 0.0 μB/cell. For the energy relative to the elements, the calculation gives 0.50 eV/atom. For the volume, the calculation gives 97.1 Å³/f.u.

---

No. 3
This record from the Alexandria database describes a relaxed structure of ZrScW. The functional is PBEsol.

a b c (Å): 4.5206 4.5206 4.5206
angles (deg): 60.00 60.00 60.00
Element x y z (fractional)
Sc  0.0000  0.0000  0.0000
W  0.5000  0.5000  0.5000
Zr  0.7500  0.7500  0.7500

The space group is F-43m (216). As for the distance to the lowest polymorph of the same formula: 274.6 kJ/mol of formula units. The magnetic moment is 0.0 μB/cell. For the energy relative to the elements, the calculation gives 1.17 eV/atom. For the volume, the calculation gives 65.3 Å³/f.u.

---

No. 4
This record from the Alexandria database describes a relaxed structure of Ga3Cu3SiSe8. The functional is PBEsol.

a b c (Å): 5.5557 5.5557 10.6533
angles (deg): 90.00 90.00 90.00
Element x y z (fractional)
Ga  0.5000  0.0000  0.2584
Ga  0.0000  0.5000  0.7416
Ga  0.5000  0.5000  0.0000
Cu  0.0000  0.5000  0.2634
Cu  0.5000  0.0000  0.7366
Cu  0.0000  0.0000  0.0000
Si  0.0000  0.0000  0.5000
Se  0.7478  0.2556  0.3916
Se  0.2521  0.7586  0.8698
Se  0.2522  0.7444  0.3916
Se  0.7479  0.2414  0.8698
Se  0.2414  0.2521  0.1302
Se  0.7444  0.7478  0.6084
Se  0.7586  0.7479  0.1302
Se  0.2556  0.2522  0.6084

As for the uncorrected formation energy: -6.71 eV per formula unit. The space group is P-4 (81). The magnetic moment is 0.0 μB/cell. For the volume, the calculation gives 328.8 Å³/f.u.

---

No. 5
This record from the Alexandria database describes a relaxed structure of Mg3ZnRe. The functional is PBEsol.

a b c (Å): 5.0184 5.0184 5.0184
angles (deg): 90.00 90.00 90.00
Element x y z (fractional)
Re  0.0000  0.0000  0.0000
Zn  0.5000  0.5000  0.5000
Mg  0.0000  0.5000  0.0000
Mg  0.0000  0.0000  0.5000
Mg  0.5000  0.0000  0.0000

The space group is Pm-3m (221). The magnetic moment is 0.0 μB/cell. For the energy relative to the elements, the calculation gives 1.18 eV/atom. For the volume, the calculation gives 126.4 Å³/f.u.

---

No. 6
This record from the Alexandria database describes a relaxed structure of CrInPtCl2. The functional is PBEsol.

a b c (Å): 4.7911 4.7911 5.1527
angles (deg): 90.00 90.00 90.00
Element x y z (fractional)
Cr  0.0000  0.0000  0.5000
Cl  0.0000  0.5000  0.0000
Cl  0.5000  0.0000  0.0000
Pt  0.0000  0.0000  0.0000
In  0.5000  0.5000  0.5000

As for the uncorrected formation energy: 1.59 eV per formula unit. The space group is P4/mmm (123). The magnetic moment is 5.2 μB/cell. For the volume, the calculation gives 118.3 Å³/f.u.

---

No. 7
This record from the Alexandria database describes a relaxed structure of Li4Cr3Ni2Sn3O16. The functional is PBEsol.

a b c (Å): 5.9413 5.9716 9.4415
angles (deg): 89.05 90.00 119.83
Element x y z (fractional)
Li  0.3235  0.6470  0.8879
Li  0.0324  0.0649  0.9902
Li  0.0187  0.0374  0.5017
Li  0.6588  0.3176  0.3969
Cr  0.1704  0.3408  0.2163
Cr  0.3379  0.1606  0.7129
Cr  0.8227  0.1606  0.7129
Ni  0.3300  0.6600  0.4903
Ni  0.6639  0.3278  0.9839
Sn  0.1666  0.8285  0.2118
Sn  0.6619  0.8285  0.2118
Sn  0.8283  0.6566  0.7125
O  0.1766  0.8546  0.5995
O  0.4760  0.9520  0.3493
O  0.3271  0.6542  0.0950
O  0.0054  0.0109  0.3179
O  0.0027  0.0055  0.8098
O  0.6780  0.8546  0.5995
O  0.0338  0.4986  0.3407
O  0.4648  0.4986  0.3407
O  0.8452  0.6903  0.0860
O  0.1656  0.3312  0.6174
O  0.5021  0.4500  0.8427
O  0.9479  0.4500  0.8427
O  0.6591  0.3181  0.6015
O  0.3360  0.1849  0.1036
O  0.5147  0.0294  0.8284
O  0.8489  0.1849  0.1036

As for the uncorrected formation energy: -45.56 eV per formula unit. The space group is Cm (8). The magnetic moment is 10.0 μB/cell. For the volume, the calculation gives 290.5 Å³/f.u.

---

No. 8
This record from the Alexandria database describes a relaxed structure of Tl3ZnFe. The functional is PBEsol.

a b c (Å): 5.0249 5.0249 5.0249
angles (deg): 90.00 90.00 90.00
Element x y z (fractional)
Tl  0.0000  0.5000  0.0000
Tl  0.0000  0.0000  0.5000
Tl  0.5000  0.0000  0.0000
Zn  0.5000  0.5000  0.5000
Fe  0.0000  0.0000  0.0000

The space group is Pm-3m (221). The magnetic moment is 0.8 μB/cell. For the energy relative to the elements, the calculation gives 0.46 eV/atom. For the volume, the calculation gives 126.9 Å³/f.u.

---

No. 9
This record from the Alexandria database describes a relaxed structure of Al2In2Si. The functional is PBEsol.

a b c (Å): 3.0066 8.3082 8.3082
angles (deg): 90.00 90.00 90.00
Element x y z (fractional)
Si  0.0000  0.0000  0.0000
Si  0.0000  0.5000  0.5000
Al  0.5000  0.1191  0.6191
Al  0.5000  0.6191  0.8809
Al  0.5000  0.8809  0.3809
Al  0.5000  0.3809  0.1191
In  0.0000  0.3209  0.8209
In  0.0000  0.8209  0.6791
In  0.0000  0.6791  0.1791
In  0.0000  0.1791  0.3209

As for the uncorrected formation energy: 1.95 eV per formula unit. The space group is P4/mbm (127). The magnetic moment is 0.0 μB/cell. For the volume, the calculation gives 103.8 Å³/f.u.

---

No. 10
This record from the Alexandria database describes a relaxed structure of SiHS2Cl. The functional is PBEsol.

a b c (Å): 4.4151 4.4151 4.7277
angles (deg): 90.00 90.00 90.00
Element x y z (fractional)
H  0.5000  0.5000  0.5000
S  0.0000  0.5000  0.0000
S  0.5000  0.0000  0.0000
Si  0.0000  0.0000  0.0000
Cl  0.0000  0.0000  0.5000

The total energy is -3.463 eV/atom. The space group is P4/mmm (123). The magnetic moment is 0.8 μB/cell. For the volume, the calculation gives 92.2 Å³/f.u.

---

No. 11
This record from the Alexandria database describes a relaxed structure of Mn2TlCr. The functional is PBEsol.

a b c (Å): 3.7631 4.0381 4.6754
angles (deg): 115.58 113.73 90.00
Element x y z (fractional)
Cr  0.0000  0.5000  0.0000
Mn  0.7421  0.7421  0.4842
Mn  0.2579  0.2579  0.5158
Tl  0.5000  0.0000  0.0000

The space group is Immm (71). As for the distance to the lowest polymorph of the same formula: 0.0 kJ/mol of formula units. The magnetic moment is 2.8 μB/cell. For the energy relative to the elements, the calculation gives 0.51 eV/atom. For the volume, the calculation gives 57.3 Å³/f.u.

---

No. 12
This record from the Alexandria database describes a relaxed structure of LiSnS2. The functional is PBEsol.

a b c (Å): 3.7140 3.7140 6.4103
angles (deg): 90.00 90.00 120.00
Element x y z (fractional)
S  0.6667  0.3333  0.7428
S  0.3333  0.6667  0.2572
Sn  0.0000  0.0000  0.0000
Li  0.0000  0.0000  0.5000

As for the uncorrected formation energy: -2.89 eV per formula unit. The space group is P-3m1 (164). The magnetic moment is 0.0 μB/cell. For the volume, the calculation gives 76.6 Å³/f.u.